A relaxed TiAgMoO6 crystal, computed with PBE with a Hubbard U.

abc: 5.1670 5.3766 4.9086
angles: 82.07 85.55 58.18
Positions (direct):
O  0.6392  0.0191  0.2837
O  0.3567  0.6571  0.2859
O  0.9983  0.5918  0.7266
O  0.6427  0.3359  0.7094
O  0.3603  0.9844  0.7208
O  0.0145  0.4053  0.2778
Ag  0.9969  0.0014  0.0044
Mo  0.3261  0.3339  0.5351
Ti  0.6652  0.6712  0.4561

Output
Total magnetic moment: 0.00 μB/f.u.
Electronic total energy: -6.936 eV/atom
Symmetry: P1, No. 1
DOS(E_F): 2.9 states/eV per cell